Record 1
A plane-wave DFT calculation with PBE was carried out for a relaxed KGdBr2 crystal.

## Properties
The calculation puts the calculated total energy at -69.91 eV/cell. Its formation energy without anion corrections is -115.3 kJ per mole of atoms. Its crystal system is trigonal. For the density of states at the Fermi level, the calculation gives 1.52 states/eV per atom. The calculation puts the size of the total moment at 22.5 Bohr magnetons per cell.

```
data_KGdBr2
_space_group_name_H-M_alt 'R -3 m'
_space_group_IT_number 166
_space_group_name_Hall '-R 3 2"'
_cell_length_a 3.9984
_cell_length_b 3.9984
_cell_length_c 32.3116
_cell_angle_alpha 90.00
_cell_angle_beta 90.00
_cell_angle_gamma 120.00
loop_
_atom_site_label
_atom_site_fract_x
_atom_site_fract_y
_atom_site_fract_z
K1 0.0000 0.0000 0.0000
Gd1 0.0000 0.0000 0.5000
Br1 0.0000 0.0000 0.1075
```

Record 2
A plane-wave DFT calculation with PBE was carried out for a relaxed La2GdBr crystal.

## Properties
The calculation puts the calculated total energy at -27.60 eV/cell. Its formation energy without anion corrections is -48.0 kJ per mole of atoms. Its crystal system is tetragonal. For the density of states at the Fermi level, the calculation gives 1.32 states/eV per atom. The calculation puts the size of the total moment at 7.6 Bohr magnetons per cell.

```
data_La2GdBr
_space_group_name_H-M_alt 'P 4/m m m'
_space_group_IT_number 123
_space_group_name_Hall '-P 4 2'
_cell_length_a 3.6503
_cell_length_b 3.6503
_cell_length_c 9.7742
_cell_angle_alpha 90.00
_cell_angle_beta 90.00
_cell_angle_gamma 90.00
loop_
_atom_site_label
_atom_site_fract_x
_atom_site_fract_y
_atom_site_fract_z
La1 0.0000 0.0000 0.2342
Gd1 0.5000 0.5000 0.5000
Br1 0.5000 0.5000 0.0000
```

Record 3
A plane-wave DFT calculation with PBE was carried out for a relaxed LaGdBr crystal.

## Properties
The calculation puts the calculated total energy at -23.02 eV/cell. Its formation energy without anion corrections is -75.1 kJ per mole of atoms. Its crystal system is trigonal. For the density of states at the Fermi level, the calculation gives 1.35 states/eV per atom. The calculation puts the size of the total moment at 7.7 Bohr magnetons per cell.

```
data_LaGdBr
_space_group_name_H-M_alt 'P 3 m 1'
_space_group_IT_number 156
_cell_length_a 3.8311
_cell_length_b 3.8311
_cell_length_c 7.5988
_cell_angle_alpha 90.00
_cell_angle_beta 90.00
_cell_angle_gamma 120.00
loop_
_space_group_symop_operation_xyz
'x,y,z'
'-y,x-y,z'
'-x+y,-x,z'
'-y,-x,z'
'-x+y,y,z'
'x,x-y,z'
loop_
_atom_site_label
_atom_site_fract_x
_atom_site_fract_y
_atom_site_fract_z
La1 0.0000 0.0000 0.0000
Gd1 0.6667 0.3333 0.3720
Br1 0.3333 0.6667 0.6693
```

Record 4
A plane-wave DFT calculation with PBE was carried out for a relaxed LaGd3Br4O4 crystal.

## Properties
The calculation puts the calculated total energy at -217.26 eV/cell. Its formation energy without anion corrections is -280.9 kJ per mole of atoms. Its crystal system is orthorhombic. For the density of states at the Fermi level, the calculation gives 0.00 states/eV per atom. The calculation puts the size of the total moment at 41.9 Bohr magnetons per cell.

```
data_LaGd3Br4O4
_space_group_name_H-M_alt 'A m m 2'
_space_group_IT_number 38
_cell_length_a 3.9472
_cell_length_b 7.8971
_cell_length_c 17.9779
_cell_angle_alpha 90.00
_cell_angle_beta 90.00
_cell_angle_gamma 90.00
loop_
_space_group_symop_operation_xyz
'x,y,z'
'-x,-y,z'
'-x,y,z'
'x,-y,z'
'x,y+1/2,z+1/2'
'-x,-y+1/2,z+1/2'
'-x,y+1/2,z+1/2'
'x,-y+1/2,z+1/2'
loop_
_atom_site_label
_atom_site_fract_x
_atom_site_fract_y
_atom_site_fract_z
La1 0.0000 0.0000 0.0000
Gd1 0.0000 0.0000 0.5078
Gd2 0.5000 0.2499 0.1360
Br1 0.0000 0.0000 0.2274
Br2 0.0000 0.0000 0.7287
Br3 0.5000 0.2384 0.4119
O1 0.0000 0.2470 0.5718
O2 0.5000 0.0000 0.0715
O3 0.5000 0.0000 0.5721
```

Record 5
A plane-wave DFT calculation with PBE was carried out for a relaxed LaGdPbBr crystal.

## Properties
The calculation puts the calculated total energy at -110.85 eV/cell. Its formation energy without anion corrections is -80.2 kJ per mole of atoms. Its crystal system is cubic. For the density of states at the Fermi level, the calculation gives 1.31 states/eV per atom. The calculation puts the size of the total moment at 30.7 Bohr magnetons per cell.

```
data_LaGdPbBr
_space_group_name_H-M_alt 'F -4 3 m'
_space_group_IT_number 216
_space_group_name_Hall 'F -4 2 3'
_cell_length_a 7.7727
_cell_length_b 7.7727
_cell_length_c 7.7727
_cell_angle_alpha 90.00
_cell_angle_beta 90.00
_cell_angle_gamma 90.00
loop_
_atom_site_label
_atom_site_fract_x
_atom_site_fract_y
_atom_site_fract_z
La1 0.0000 0.0000 0.0000
Gd1 0.0000 0.0000 0.5000
Pb1 0.2500 0.2500 0.2500
Br1 0.2500 0.2500 0.7500
```

Record 6
A plane-wave DFT calculation with PBE was carried out for a relaxed LaGdSbBr crystal.

## Properties
The calculation puts the calculated total energy at -117.59 eV/cell. Its formation energy without anion corrections is -110.8 kJ per mole of atoms. Its crystal system is cubic. For the density of states at the Fermi level, the calculation gives 1.51 states/eV per atom. The calculation puts the size of the total moment at 33.3 Bohr magnetons per cell.

```
data_LaGdSbBr
_space_group_name_H-M_alt 'F -4 3 m'
_space_group_IT_number 216
_space_group_name_Hall 'F -4 2 3'
_cell_length_a 7.6686
_cell_length_b 7.6686
_cell_length_c 7.6686
_cell_angle_alpha 90.00
_cell_angle_beta 90.00
_cell_angle_gamma 90.00
loop_
_atom_site_label
_atom_site_fract_x
_atom_site_fract_y
_atom_site_fract_z
La1 0.0000 0.0000 0.0000
Gd1 0.0000 0.0000 0.5000
Sb1 0.2500 0.2500 0.2500
Br1 0.2500 0.2500 0.7500
```

Record 7
A plane-wave DFT calculation with PBE was carried out for a relaxed LaGdSnBr crystal.

## Properties
The calculation puts the calculated total energy at -113.68 eV/cell. Its formation energy without anion corrections is -90.1 kJ per mole of atoms. Its crystal system is cubic. For the density of states at the Fermi level, the calculation gives 1.20 states/eV per atom. The calculation puts the size of the total moment at 30.5 Bohr magnetons per cell.

```
data_LaGdSnBr
_space_group_name_H-M_alt 'F -4 3 m'
_space_group_IT_number 216
_space_group_name_Hall 'F -4 2 3'
_cell_length_a 7.7112
_cell_length_b 7.7112
_cell_length_c 7.7112
_cell_angle_alpha 90.00
_cell_angle_beta 90.00
_cell_angle_gamma 90.00
loop_
_atom_site_label
_atom_site_fract_x
_atom_site_fract_y
_atom_site_fract_z
La1 0.0000 0.0000 0.0000
Gd1 0.0000 0.0000 0.5000
Sn1 0.2500 0.2500 0.2500
Br1 0.2500 0.2500 0.7500
```

Record 8
A plane-wave DFT calculation with PBE was carried out for a relaxed LaGdTeBr crystal.

## Properties
The calculation puts the calculated total energy at -115.01 eV/cell. Its formation energy without anion corrections is -118.9 kJ per mole of atoms. Its crystal system is cubic. For the density of states at the Fermi level, the calculation gives 1.25 states/eV per atom. The calculation puts the size of the total moment at 30.4 Bohr magnetons per cell.

```
data_LaGdTeBr
_space_group_name_H-M_alt 'F -4 3 m'
_space_group_IT_number 216
_space_group_name_Hall 'F -4 2 3'
_cell_length_a 7.6148
_cell_length_b 7.6148
_cell_length_c 7.6148
_cell_angle_alpha 90.00
_cell_angle_beta 90.00
_cell_angle_gamma 90.00
loop_
_atom_site_label
_atom_site_fract_x
_atom_site_fract_y
_atom_site_fract_z
La1 0.0000 0.0000 0.0000
Gd1 0.0000 0.0000 0.5000
Te1 0.2500 0.2500 0.7500
Br1 0.2500 0.2500 0.2500
```

Record 9
A plane-wave DFT calculation with PBE was carried out for a relaxed Li5Gd3Br12 crystal.

## Properties
The calculation puts the calculated total energy at -829.16 eV/cell. Its formation energy without anion corrections is -153.2 kJ per mole of atoms. Its crystal system is cubic. For the density of states at the Fermi level, the calculation gives 0.92 states/eV per atom. The calculation puts the size of the total moment at 166.3 Bohr magnetons per cell.

```
data_Li5Gd3Br12
_space_group_name_H-M_alt 'I a -3 d'
_space_group_IT_number 230
_space_group_name_Hall '-I 4bd 2c 3'
_cell_length_a 16.3137
_cell_length_b 16.3137
_cell_length_c 16.3137
_cell_angle_alpha 90.00
_cell_angle_beta 90.00
_cell_angle_gamma 90.00
loop_
_atom_site_label
_atom_site_fract_x
_atom_site_fract_y
_atom_site_fract_z
Li1 0.0000 0.0000 0.0000
Li2 0.0000 0.2500 0.3750
Gd1 0.0000 0.2500 0.1250
Br1 0.0277 0.0626 0.6525
```

Record 10
A plane-wave DFT calculation with PBE was carried out for a relaxed GdMgBr2 crystal.

## Properties
The calculation puts the calculated total energy at -66.31 eV/cell. Its formation energy without anion corrections is -74.3 kJ per mole of atoms. Its crystal system is trigonal. For the density of states at the Fermi level, the calculation gives 1.38 states/eV per atom. The calculation puts the size of the total moment at 23.9 Bohr magnetons per cell.

```
data_GdMgBr2
_space_group_name_H-M_alt 'R -3 m'
_space_group_IT_number 166
_space_group_name_Hall '-R 3 2"'
_cell_length_a 3.7853
_cell_length_b 3.7853
_cell_length_c 29.0913
_cell_angle_alpha 90.00
_cell_angle_beta 90.00
_cell_angle_gamma 120.00
loop_
_atom_site_label
_atom_site_fract_x
_atom_site_fract_y
_atom_site_fract_z
Gd1 0.0000 0.0000 0.0000
Mg1 0.0000 0.0000 0.5000
Br1 0.0000 0.0000 0.1128
```